The following is a DFT calculation (GGA-PBE) of crystalline Tb7Dy4Sc at its relaxed geometry.

Cell: 6.430 6.747 9.047 Å, 86.05 76.51 82.29°
Atoms (fractional coordinates):
Tb1 0.000 0.000 0.000
Tb2 0.191 0.604 0.382
Tb3 0.319 0.197 0.637
Tb4 0.499 0.745 0.049
Tb5 0.501 0.255 0.951
Tb6 0.681 0.803 0.363
Tb7 0.809 0.396 0.618
Dy1 0.163 0.114 0.310
Dy2 0.347 0.688 0.720
Dy3 0.653 0.312 0.280
Dy4 0.837 0.886 0.690
Sc1 0.000 0.500 0.000

Calculated values
SG = No. 2
ΔE_f = 100 meV/atom
E = -4.663 eV/atom
Spin magnetization = 0.0 Bohr magnetons per cell